# 1
Here is a relaxed structure of LiTm2In3 from the Alexandria database. Energies are from PBE.

POSCAR file:
```
LiTm2In3
1.0
0.0000 4.8898 8.4481
3.4701 0.0000 8.4481
3.4701 4.8898 0.0000
Li Tm In
2 4 6
Cartesian
3.4701 4.8898 2.8437
3.4701 4.8898 14.0526
1.7350 2.4449 4.2241
5.1960 4.8898 8.4481
1.7441 4.8898 8.4481
5.2051 7.3348 12.6722
3.4701 2.3518 6.9782
3.4701 2.3518 9.9181
3.4701 4.8898 5.5365
3.4701 4.8898 11.3598
3.4701 7.4279 6.9782
3.4701 7.4279 9.9181
```

Output
The value obtained for the formation energy is -0.3796 eV per atom. The crystal system is orthorhombic.

***

# 2
Here is a relaxed structure of NiAg2Pt2 from the Alexandria database. Energies are from PBE.

POSCAR file:
```
NiAg2Pt2
1.0
6.3113 0.0000 0.0000
0.0000 6.3113 0.0000
0.0000 0.0000 4.3476
Ni Ag Pt
2 4 4
Cartesian
0.0000 0.0000 0.0000
3.1556 3.1556 0.0000
1.0486 2.1071 2.1738
2.1071 5.2627 2.1738
4.2042 1.0486 2.1738
5.2627 4.2042 2.1738
0.8995 4.0551 0.0000
2.2562 0.8995 0.0000
4.0551 5.4118 0.0000
5.4118 2.2562 0.0000
```

Output
The value obtained for the formation energy is 0.2543 eV per atom. The value obtained for the distance to the lowest polymorph of the same formula is 0.0 meV/atom. The crystal system is tetragonal.

***

# 3
Here is a relaxed structure of Sr2BiCl8 from the Alexandria database. Energies are from PBE.

POSCAR file:
```
Sr2BiCl8
1.0
4.5093 -6.3646 0.0000
4.5093 6.3646 0.0000
-3.4127 0.0000 5.3811
Sr Bi Cl
2 1 8
Cartesian
4.5093 3.9671 0.0000
4.5093 -3.9671 0.0000
2.8029 0.0000 2.6905
0.1662 0.0000 1.9617
2.8087 1.4930 0.0528
2.8029 2.9100 2.6905
2.8087 -1.4930 0.0528
2.7971 1.4930 5.3283
2.8029 -2.9100 2.6905
2.7971 -1.4930 5.3283
5.4397 0.0000 3.4194
```

Output
Its uncorrected formation energy is -1515 meV per atom. The crystal system is monoclinic.

***

Total moment values, unit μB per formula unit, following the record order: 0.00 0.86 0.81.
Uncorrected energy values, unit eV per atom, following the record order: -3.558 -4.459 -3.517.
Mass density values, unit g/cm3, following the record order: 8.0 12.7 3.6.